[1]
# PmGaSiRh3, optimized geometry, DFT PBE
data_PmGaSiRh3
_symmetry_space_group_name_H-M 'C m c m'
_symmetry_Int_Tables_number 63
_symmetry_space_group_name_Hall '-C 2c 2'
_cell_length_a 5.737
_cell_length_b 14.478
_cell_length_c 5.782
_cell_angle_alpha 90.00
_cell_angle_beta 90.00
_cell_angle_gamma 90.00
loop_
_atom_site_label
_atom_site_type_symbol
_atom_site_fract_x
_atom_site_fract_y
_atom_site_fract_z
Pm1 Pm 0.000 0.213 0.250
Ga1 Ga 0.000 0.100 0.750
Si1 Si 0.000 0.426 0.750
Rh1 Rh 0.000 0.268 0.750
Rh2 Rh 0.246 0.000 0.000
# - Size of the total moment: 0.00 μB per formula unit
# - DFT total energy: -6.489 eV/atom
# - Formation energy from raw total energies: -0.614 eV per atom



[2]
# Cs2NaGeSb2, optimized geometry, DFT PBE
data_Cs2NaGeSb2
_symmetry_space_group_name_H-M 'I b a m'
_symmetry_Int_Tables_number 72
_symmetry_space_group_name_Hall '-I 2 2c'
_cell_length_a 7.535
_cell_length_b 17.153
_cell_length_c 7.318
_cell_angle_alpha 90.00
_cell_angle_beta 90.00
_cell_angle_gamma 90.00
loop_
_atom_site_label
_atom_site_type_symbol
_atom_site_fract_x
_atom_site_fract_y
_atom_site_fract_z
Cs1 Cs 0.238 0.169 0.000
Na1 Na 0.000 0.000 0.250
Ge1 Ge 0.000 0.500 0.250
Sb1 Sb 0.212 0.411 0.000
# - Size of the total moment: 0.00 μB per formula unit
# - DFT total energy: -3.009 eV/atom
# - Formation energy from raw total energies: -0.361 eV per atom



[3]
# Al2RhW, optimized geometry, DFT PBE
data_Al2RhW
_symmetry_space_group_name_H-M 'R 3 m'
_symmetry_Int_Tables_number 160
_symmetry_space_group_name_Hall 'R 3 -2"'
_cell_length_a 2.8420
_cell_length_b 2.8420
_cell_length_c 26.2910
_cell_angle_alpha 90.00
_cell_angle_beta 90.00
_cell_angle_gamma 120.00
loop_
_atom_site_label
_atom_site_type_symbol
_atom_site_fract_x
_atom_site_fract_y
_atom_site_fract_z
Al1 Al 0.0000 0.0000 0.0000
Al2 Al 0.0000 0.0000 0.2451
Rh1 Rh 0.0000 0.0000 0.5010
W1 W 0.0000 0.0000 0.7520
# - Size of the total moment: 0.00 μB per formula unit
# - DFT total energy: -7.182 eV/atom
# - Distance to the lowest polymorph of the same formula: 214 meV/atom



[4]
# LaCeDyHo, optimized geometry, DFT PBE
data_LaCeDyHo
_symmetry_space_group_name_H-M 'F -4 3 m'
_symmetry_Int_Tables_number 216
_symmetry_space_group_name_Hall 'F -4 2 3'
_cell_length_a 8.089
_cell_length_b 8.089
_cell_length_c 8.089
_cell_angle_alpha 90.00
_cell_angle_beta 90.00
_cell_angle_gamma 90.00
loop_
_atom_site_label
_atom_site_type_symbol
_atom_site_fract_x
_atom_site_fract_y
_atom_site_fract_z
La1 La 0.000 0.000 0.000
Ce1 Ce 0.000 0.000 0.500
Dy1 Dy 0.250 0.250 0.250
Ho1 Ho 0.250 0.250 0.750
# - Size of the total moment: 0.68 μB per formula unit
# - DFT total energy: -4.850 eV/atom



[5]
# NiAgPb2, optimized geometry, DFT PBE
data_NiAgPb2
_symmetry_space_group_name_H-M 'R -3 m'
_symmetry_Int_Tables_number 166
_symmetry_space_group_name_Hall '-R 3 2"'
_cell_length_a 3.4570
_cell_length_b 3.4570
_cell_length_c 25.6955
_cell_angle_alpha 90.00
_cell_angle_beta 90.00
_cell_angle_gamma 120.00
loop_
_atom_site_label
_atom_site_type_symbol
_atom_site_fract_x
_atom_site_fract_y
_atom_site_fract_z
Ni1 Ni 0.0000 0.0000 0.0000
Ag1 Ag 0.0000 0.0000 0.5000
Pb1 Pb 0.0000 0.0000 0.2605
# - Size of the total moment: 0.00 μB per formula unit
# - DFT total energy: -3.806 eV/atom
# - Distance to the lowest polymorph of the same formula: 32 meV/atom



[6]
# HoSc2V, optimized geometry, DFT PBE
data_HoSc2V
_symmetry_space_group_name_H-M 'P 4/m m m'
_symmetry_Int_Tables_number 123
_symmetry_space_group_name_Hall '-P 4 2'
_cell_length_a 3.432
_cell_length_b 3.432
_cell_length_c 8.029
_cell_angle_alpha 90.00
_cell_angle_beta 90.00
_cell_angle_gamma 90.00
loop_
_atom_site_label
_atom_site_type_symbol
_atom_site_fract_x
_atom_site_fract_y
_atom_site_fract_z
Ho1 Ho 0.000 0.000 0.000
Sc1 Sc 0.500 0.500 0.303
V1 V 0.000 0.000 0.500
# - Size of the total moment: 3.00 μB per formula unit
# - DFT total energy: -6.417 eV/atom
# - Distance to the lowest polymorph of the same formula: 0 meV/atom



[7]
# LiBeGe3, optimized geometry, DFT PBE
data_LiBeGe3
_symmetry_space_group_name_H-M 'P m -3 m'
_symmetry_Int_Tables_number 221
_symmetry_space_group_name_Hall '-P 4 2 3'
_cell_length_a 4.524
_cell_length_b 4.524
_cell_length_c 4.524
_cell_angle_alpha 90.00
_cell_angle_beta 90.00
_cell_angle_gamma 90.00
loop_
_atom_site_label
_atom_site_type_symbol
_atom_site_fract_x
_atom_site_fract_y
_atom_site_fract_z
Li1 Li 0.000 0.000 0.000
Be1 Be 0.500 0.500 0.500
Ge1 Ge 0.000 0.000 0.500
# - Size of the total moment: 0.00 μB per formula unit
# - DFT total energy: -3.091 eV/atom
# - Distance to the lowest polymorph of the same formula: 496 meV/atom



[8]
# CdPbAu2, optimized geometry, DFT PBE
data_CdPbAu2
_symmetry_space_group_name_H-M 'P 4/m m m'
_symmetry_Int_Tables_number 123
_symmetry_space_group_name_Hall '-P 4 2'
_cell_length_a 3.529
_cell_length_b 3.529
_cell_length_c 7.100
_cell_angle_alpha 90.00
_cell_angle_beta 90.00
_cell_angle_gamma 90.00
loop_
_atom_site_label
_atom_site_type_symbol
_atom_site_fract_x
_atom_site_fract_y
_atom_site_fract_z
Cd1 Cd 0.000 0.000 0.000
Pb1 Pb 0.000 0.000 0.500
Au1 Au 0.500 0.500 0.220
# - Size of the total moment: 0.00 μB per formula unit
# - DFT total energy: -2.887 eV/atom



[9]
# CrFeAs2, optimized geometry, DFT PBE
data_CrFeAs2
_symmetry_space_group_name_H-M 'I -4 2 d'
_symmetry_Int_Tables_number 122
_symmetry_space_group_name_Hall 'I -4 2bw'
_cell_length_a 5.142
_cell_length_b 5.142
_cell_length_c 12.053
_cell_angle_alpha 90.00
_cell_angle_beta 90.00
_cell_angle_gamma 90.00
loop_
_atom_site_label
_atom_site_type_symbol
_atom_site_fract_x
_atom_site_fract_y
_atom_site_fract_z
Cr1 Cr 0.000 0.000 0.000
Fe1 Fe 0.000 0.000 0.500
As1 As 0.220 0.250 0.625
# - Size of the total moment: 3.86 μB per formula unit
# - DFT total energy: -6.523 eV/atom
# - Distance to the lowest polymorph of the same formula: 528 meV/atom



[10]
# Ba3Bi4Pd2Rh2, optimized geometry, DFT PBE
data_Ba3Bi4Pd2Rh2
_symmetry_space_group_name_H-M 'P -3 m 1'
_symmetry_Int_Tables_number 164
_symmetry_space_group_name_Hall '-P 3 2"'
_cell_length_a 4.6991
_cell_length_b 4.6991
_cell_length_c 17.8232
_cell_angle_alpha 90.00
_cell_angle_beta 90.00
_cell_angle_gamma 120.00
loop_
_atom_site_label
_atom_site_type_symbol
_atom_site_fract_x
_atom_site_fract_y
_atom_site_fract_z
Ba1 Ba 0.0000 0.0000 0.0000
Ba2 Ba 0.0000 0.0000 0.2767
Bi1 Bi 0.3333 0.6667 0.4128
Bi2 Bi 0.3333 0.6667 0.8603
Pd1 Pd 0.3333 0.6667 0.1417
Rh1 Rh 0.3333 0.6667 0.5608
# - Size of the total moment: 0.00 μB per formula unit
# - DFT total energy: -4.735 eV/atom



[11]
# PrYCoHg, optimized geometry, DFT PBE
data_PrYCoHg
_symmetry_space_group_name_H-M 'F -4 3 m'
_symmetry_Int_Tables_number 216
_symmetry_space_group_name_Hall 'F -4 2 3'
_cell_length_a 7.281
_cell_length_b 7.281
_cell_length_c 7.281
_cell_angle_alpha 90.00
_cell_angle_beta 90.00
_cell_angle_gamma 90.00
loop_
_atom_site_label
_atom_site_type_symbol
_atom_site_fract_x
_atom_site_fract_y
_atom_site_fract_z
Pr1 Pr 0.000 0.000 0.000
Y1 Y 0.000 0.000 0.500
Co1 Co 0.250 0.250 0.750
Hg1 Hg 0.250 0.250 0.250
# - Size of the total moment: 0.46 μB per formula unit
# - DFT total energy: -4.820 eV/atom



[12]
# BeRhAu2, optimized geometry, DFT PBE
data_BeRhAu2
_symmetry_space_group_name_H-M 'C m m m'
_symmetry_Int_Tables_number 65
_symmetry_space_group_name_Hall '-C 2 2'
_cell_length_a 5.532
_cell_length_b 7.175
_cell_length_c 3.051
_cell_angle_alpha 90.00
_cell_angle_beta 90.00
_cell_angle_gamma 90.00
loop_
_atom_site_label
_atom_site_type_symbol
_atom_site_fract_x
_atom_site_fract_y
_atom_site_fract_z
Be1 Be 0.000 0.000 0.000
Rh1 Rh 0.000 0.500 0.000
Au1 Au 0.250 0.250 0.500
# - Size of the total moment: 0.00 μB per formula unit
# - DFT total energy: -4.313 eV/atom



> What is the size of the total moment in the eleventh record?

0.46 μB per formula unit